1.
KCd2Si (GGA-PBE, relaxed); final energy = -1.866 eV per atom; V = 111 Å³/cell
1.0
3.7007 0.0000 0.0000
0.0000 3.7007 0.0000
0.0000 0.0000 8.1133
Cd K Si
2 1 1
direct
0.0000 0.0000 0.9562
0.5000 0.5000 0.1924
0.0000 0.0000 0.5210
0.5000 0.5000 0.8305

2.
ThAlNi (GGA-PBE, relaxed); ΔE_f = -0.608 eV/atom; final energy = -6.255 eV per atom; V = 176 Å³/cell
1.0
-1.0431 0.9649 3.8501
-6.2195 -3.1467 -0.8965
5.4838 -3.6770 2.4072
Ni Al Th
3 3 3
direct
0.5000 0.3333 0.6667
0.0000 0.0000 0.0000
0.5000 0.6667 0.3333
0.5000 0.7702 0.7702
0.5000 0.2298 0.0000
0.5000 0.0000 0.2298
0.0000 0.0000 0.5782
0.0000 0.4218 0.4218
0.0000 0.5782 0.0000

3.
AcSnIr2 (GGA-PBE, relaxed); ΔE_f = -0.138 eV/atom; final energy = -6.596 eV per atom; V = 85 Å³/cell
1.0
-2.8643 1.8026 0.4251
-1.7331 -2.3325 -1.7863
-1.4025 -3.6841 6.1715
Ac Ir Sn
1 2 1
direct
0.5000 0.5000 0.5000
0.0000 0.0000 0.7999
0.0000 0.0000 0.2001
0.5000 0.5000 0.0000

4.
Nb3SiP (GGA-PBE, relaxed); final energy = -7.869 eV per atom; V = 96 Å³/cell
1.0
-4.1097 1.8640 0.8164
0.4019 -1.0602 4.4435
1.9949 4.0536 0.7867
P Nb Si
1 3 1
direct
0.0000 0.0000 0.0000
0.0000 0.5000 0.0000
0.0000 0.0000 0.5000
0.5000 0.0000 0.0000
0.5000 0.5000 0.5000

5.
TlSb2Pb (GGA-PBE, relaxed); final energy = -3.457 eV per atom; V = 120 Å³/cell
1.0
6.0516 0.0000 0.0000
2.0610 5.6898 0.0000
-4.0563 -2.8449 3.4748
Pb Sb Tl
1 2 1
direct
0.7500 0.2500 0.5000
0.0000 0.0000 0.0000
0.2500 0.7500 0.5000
0.5000 0.5000 0.0000

6.
SnBiNF2 (GGA-PBE, relaxed); final energy = -4.597 eV per atom; V = 83 Å³/cell
1.0
-2.6306 3.4784 0.9007
-1.8762 -0.3777 -4.0209
-2.8846 -2.5930 1.5895
N F Bi Sn
1 2 1 1
direct
0.0000 0.0000 0.5000
0.0000 0.5000 0.0000
0.5000 0.0000 0.0000
0.5000 0.5000 0.5000
0.0000 0.0000 0.0000

7.
LiTm2Nb (GGA-PBE, relaxed); ΔE_f = 0.188 eV/atom; final energy = -5.044 eV per atom; V = 97 Å³/cell
1.0
3.3346 0.0000 0.0000
0.0000 3.3346 0.0000
0.0000 0.0000 8.7607
Nb Tm Li
1 2 1
direct
0.5000 0.5000 0.0000
0.0000 0.0000 0.7690
0.0000 0.0000 0.2310
0.5000 0.5000 0.5000

8.
KNaSbF6 (GGA-PBE, relaxed); final energy = -4.530 eV per atom; V = 167 Å³/cell
1.0
-4.8913 -0.3916 3.3526
-4.8853 -2.6054 -2.1596
1.7156 -4.8236 1.9417
K Na Sb F
1 1 1 6
direct
0.0000 0.0000 0.0000
0.3334 0.3334 0.5000
0.6666 0.6666 0.5000
0.9646 0.3872 0.2917
0.3872 0.9646 0.7083
0.6481 0.3875 0.7085
0.9642 0.6483 0.7084
0.3875 0.6481 0.2915
0.6483 0.9643 0.2916

9.
KLi2Ir (GGA-PBE, relaxed); ΔE_f = 0.237 eV/atom; final energy = -3.210 eV per atom; V = 81 Å³/cell
1.0
2.6489 0.0000 0.0000
0.0000 4.2911 0.0000
0.0000 0.0000 7.1140
Ir K Li
1 1 2
direct
0.5000 0.5000 0.2500
0.5000 0.5000 0.7500
0.0000 0.0000 0.0886
0.0000 0.0000 0.4114

10.
Na2YMnTc (GGA-PBE, relaxed); ΔE_f = 1.422 eV/atom; final energy = -4.306 eV per atom; V = 139 Å³/cell
1.0
-0.9777 4.8669 -1.2611
-0.0921 -1.3466 -5.1256
-5.0268 -0.9235 0.3329
Y Na Mn Tc
1 2 1 1
direct
0.0000 0.5000 0.0000
0.0000 0.0000 0.5000
0.5000 0.0000 0.0000
0.0000 0.0000 0.0000
0.5000 0.5000 0.5000

11.
CaHf3Ga (GGA-PBE, relaxed); ΔE_f = 1.813 eV/atom; final energy = -5.165 eV per atom; V = 125 Å³/cell
1.0
-3.3332 1.1174 3.5645
1.8663 -3.6401 2.8863
3.2359 3.2504 2.0070
Ca Hf Ga
1 3 1
direct
0.0000 0.0000 0.0000
0.0000 0.5000 0.0000
0.0000 0.0000 0.5000
0.5000 0.0000 0.0000
0.5000 0.5000 0.5000

12.
LiFeSi2 (GGA-PBE, relaxed); final energy = -5.424 eV per atom; V = 45 Å³/cell
1.0
4.4748 0.0013 -0.0133
1.7609 4.1137 0.0133
-3.1109 -2.0681 2.4636
Fe Li Si
1 1 2
direct
0.5000 0.5000 0.0000
0.2500 0.7500 0.5000
0.0000 0.0000 0.0000
0.7501 0.2501 0.5000